(1)
Material: Y4FeSb
Method: DFT, GGA-PBE
State: relaxed

```
Y4FeSb
1.0
0.0000 4.3948 4.3948
4.3948 0.0000 4.3948
4.3948 4.3948 0.0000
Y Fe Sb
4 1 1
direct
0.1248 0.1248 0.1248
0.1248 0.1248 0.6257
0.1248 0.6257 0.1248
0.6257 0.1248 0.1248
0.7500 0.7500 0.7500
0.5000 0.5000 0.5000
```

Uncorrected energy, eV per atom: -5.87
Offset from the most stable computed form, kJ/mol of formula units: 534
SG: No. 216
Total magnetization, Bohr magnetons per cell: 2.77
ΔE_f (raw), eV per formula unit: 3.19

***

(2)
Material: ReSnSb3
Method: DFT, GGA-PBE
State: relaxed

```
ReSnSb3
1.0
5.5459 0.0000 0.0000
0.0000 5.5459 0.0000
0.0000 0.0000 5.5459
Re Sn Sb
1 1 3
direct
0.0000 0.0000 0.0000
0.5000 0.5000 0.5000
0.0000 0.5000 0.5000
0.5000 0.0000 0.5000
0.5000 0.5000 0.0000
```

Uncorrected energy, eV per atom: -3.89
Offset from the most stable computed form, kJ/mol of formula units: 597
SG: No. 221
Total magnetization, Bohr magnetons per cell: 3.51
ΔE_f (raw), eV per formula unit: 9.36

***

(3)
Material: CsGeBiBr6
Method: DFT, GGA-PBE
State: relaxed

```
CsGeBiBr6
1.0
7.4305 0.0000 0.0000
-3.7153 6.4350 0.0000
0.0000 0.0000 8.1681
Cs Ge Bi Br
1 1 1 6
direct
0.0000 0.0000 0.0000
0.6667 0.3333 0.5000
0.3333 0.6667 0.5000
0.3802 0.0052 0.7058
0.3802 0.3749 0.2942
0.6251 0.0052 0.2942
0.6251 0.6198 0.7058
0.9948 0.3749 0.7058
0.9948 0.6198 0.2942
```

Uncorrected energy, eV per atom: -3.10
SG: No. 149
Total magnetization, Bohr magnetons per cell: 0.00
ΔE_f (raw), eV per formula unit: -8.48

***

(4)
Material: CaScNiAu
Method: DFT, GGA-PBE
State: relaxed

```
CaScNiAu
1.0
0.0000 3.4080 3.4080
3.4080 0.0000 3.4080
3.4080 3.4080 0.0000
Ca Sc Ni Au
1 1 1 1
direct
0.0000 0.0000 0.0000
0.5000 0.5000 0.5000
0.7500 0.7500 0.7500
0.2500 0.2500 0.2500
```

DFT formation energy, eV/atom: -0.429
Uncorrected energy, eV per atom: -4.78
SG: No. 216
Total magnetization, Bohr magnetons per cell: 0.00